# 1
! PBE BeReCl2, relaxed; values from VASP
! E: -18.34 eV per cell
! Space-group type: Imm2
! ΔE_f (raw): 0.381 eV per atom
&SYSTEM
  ibrav = 0, nat = 4, ntyp = 3
/
ATOMIC_SPECIES
Re 186.21 Re.upf
Be 9.01 Be.upf
Cl 35.45 Cl.upf
ATOMIC_POSITIONS angstrom
Re -1.295 -3.961 1.268
Be -0.028 -1.910 1.933
Cl -0.273 -0.836 0.268
Cl -3.909 0.142 2.020
CELL_PARAMETERS angstrom
-5.454 -2.757 1.627
2.718 -5.612 1.054
-1.401 5.990 1.469



# 2
! PBE NdSmRh4, relaxed; values from VASP
! E: -42.92 eV per cell
! Space-group type: F-43m
&SYSTEM
  ibrav = 0, nat = 6, ntyp = 3
/
ATOMIC_SPECIES
Rh 102.91 Rh.upf
Nd 144.24 Nd.upf
Sm 150.36 Sm.upf
ATOMIC_POSITIONS angstrom
Rh 5.403 3.119 0.552
Rh 5.403 1.561 2.757
Rh 6.753 3.899 2.757
Rh 4.053 3.899 2.757
Nd 0.000 0.000 0.000
Sm 2.702 1.560 1.103
CELL_PARAMETERS angstrom
5.403 0.000 0.000
2.702 4.679 0.000
2.702 1.560 4.412



# 3
! PBE NaMnTe3, relaxed; values from VASP
! E: -13.07 eV per cell
! Space-group type: Pm-3m
! ΔE_f (raw): 1.369 eV per atom
&SYSTEM
  ibrav = 0, nat = 5, ntyp = 3
/
ATOMIC_SPECIES
Na 22.99 Na.upf
Te 127.60 Te.upf
Mn 54.94 Mn.upf
ATOMIC_POSITIONS angstrom
Na 0.000 0.000 0.000
Te 0.000 2.689 0.000
Te 0.000 0.000 2.689
Te 2.689 0.000 0.000
Mn 2.689 2.689 2.689
CELL_PARAMETERS angstrom
5.377 0.000 0.000
0.000 5.377 0.000
0.000 0.000 5.377



# 4
! PBE Tb2Ga7Pd, relaxed; values from VASP
! E: -40.79 eV per cell
! Space-group type: P-4m2
&SYSTEM
  ibrav = 0, nat = 10, ntyp = 3
/
ATOMIC_SPECIES
Tb 158.93 Tb.upf
Ga 69.72 Ga.upf
Pd 106.42 Pd.upf
ATOMIC_POSITIONS angstrom
Tb 2.100 0.000 8.171
Tb 0.000 2.100 2.653
Ga 0.000 2.100 9.385
Ga 2.100 0.000 3.873
Ga 2.100 0.000 1.440
Ga 0.000 2.100 6.951
Ga 0.000 0.000 5.412
Ga 0.000 0.000 0.000
Ga 2.100 2.100 5.412
Pd 2.100 2.100 0.000
CELL_PARAMETERS angstrom
4.200 0.000 0.000
0.000 4.200 0.000
0.000 0.000 10.824



Repeat the first record exactly.
! PBE BeReCl2, relaxed; values from VASP
! E: -18.34 eV per cell
! Space-group type: Imm2
! ΔE_f (raw): 0.381 eV per atom
&SYSTEM
  ibrav = 0, nat = 4, ntyp = 3
/
ATOMIC_SPECIES
Re 186.21 Re.upf
Be 9.01 Be.upf
Cl 35.45 Cl.upf
ATOMIC_POSITIONS angstrom
Re -1.295 -3.961 1.268
Be -0.028 -1.910 1.933
Cl -0.273 -0.836 0.268
Cl -3.909 0.142 2.020
CELL_PARAMETERS angstrom
-5.454 -2.757 1.627
2.718 -5.612 1.054
-1.401 5.990 1.469



The highest E belongs to which entry? NaMnTe3